[1]
A plane-wave DFT calculation with PBE was carried out for a relaxed KP2Au crystal.

Structure (POSCAR):
```
KP2Au
1.0
-6.381 -2.907 1.188
2.859 -6.491 -0.525
0.773 0.004 4.162
K P Au
2 4 2
direct
0.000 0.000 0.000 K
0.500 0.500 0.000 K
0.882 0.618 0.500 P
0.618 0.118 0.500 P
0.118 0.382 0.500 P
0.382 0.882 0.500 P
0.000 0.500 0.000 Au
0.500 0.000 0.000 Au
```

Summary:
Energy of formation (eV/atom): -0.071
M_tot (Bohr magnetons per cell): 0.00

=====

[2]
A plane-wave DFT calculation with PBE was carried out for a relaxed Mg6CdSiO8 crystal.

Structure (POSCAR):
```
Mg6CdSiO8
1.0
-1.099 -0.117 -4.262
-0.566 -4.358 0.265
-8.461 1.230 2.149
Mg O Si Cd
6 8 1 1
direct
0.000 0.000 0.500 Mg
0.000 0.500 0.260 Mg
0.500 0.500 0.500 Mg
0.500 0.000 0.740 Mg
0.500 0.000 0.260 Mg
0.000 0.500 0.740 Mg
0.000 0.500 0.000 O
0.500 0.000 0.000 O
0.000 0.500 0.500 O
0.000 0.000 0.738 O
0.500 0.500 0.733 O
0.000 0.000 0.262 O
0.500 0.500 0.267 O
0.500 0.000 0.500 O
0.000 0.000 0.000 Si
0.500 0.500 0.000 Cd
```

Summary:
Energy relative to the elements, uncorrected (eV per atom): -2.1296
M_tot (Bohr magnetons per cell): 0.00

=====

[3]
A plane-wave DFT calculation with PBE was carried out for a relaxed PmInAu crystal.

Structure (POSCAR):
```
PmInAu
1.0
3.664 0.000 0.000
0.000 4.866 0.000
0.000 0.000 8.460
Au Pm In
2 2 2
direct
0.812 0.216 0.983 Au
0.812 0.716 0.810 Au
0.312 0.216 0.684 Pm
0.312 0.716 0.109 Pm
0.811 0.716 0.482 In
0.811 0.216 0.311 In
```

Summary:
Energy of formation (eV/atom): -0.659
M_tot (Bohr magnetons per cell): 0.00

=====

[4]
A plane-wave DFT calculation with PBE was carried out for a relaxed PaSiHRu2 crystal.

Structure (POSCAR):
```
PaSiHRu2
1.0
4.157 0.000 0.000
-2.078 5.598 0.000
0.000 0.000 6.209
Si H Ru Pa
2 2 4 2
direct
0.318 0.635 0.250 Si
0.682 0.365 0.750 Si
0.000 0.000 0.500 H
0.000 0.000 0.000 H
0.159 0.319 0.526 Ru
0.841 0.681 0.026 Ru
0.841 0.681 0.474 Ru
0.159 0.319 0.974 Ru
0.411 0.822 0.750 Pa
0.589 0.178 0.250 Pa
```

Summary:
Raw total energy (eV/cell): -79.03
M_tot (Bohr magnetons per cell): 0.00

=====

[5]
A plane-wave DFT calculation with PBE was carried out for a relaxed FePC3 crystal.

Structure (POSCAR):
```
FePC3
1.0
3.843 0.004 0.001
0.098 4.181 0.006
1.057 1.756 3.864
P C Fe
1 3 1
direct
0.886 0.407 0.009 P
0.432 0.853 0.896 C
0.444 0.512 0.144 C
0.124 0.288 0.348 C
0.970 0.008 0.791 Fe
```

Summary:
Energy of formation (eV/atom): 0.883
M_tot (Bohr magnetons per cell): 0.00

=====

[6]
A plane-wave DFT calculation with PBE was carried out for a relaxed AgGeB2Pd crystal.

Structure (POSCAR):
```
AgGeB2Pd
1.0
4.026 0.000 0.000
0.000 5.280 0.000
0.000 0.000 4.026
Ge B Ag Pd
1 2 1 1
direct
0.500 0.500 0.500 Ge
0.500 0.000 0.000 B
0.000 0.000 0.500 B
0.000 0.500 0.000 Ag
0.000 0.000 0.000 Pd
```

Summary:
Energy of formation (eV/atom): 0.997
M_tot (Bohr magnetons per cell): 0.00